Entry 1:
Below is a relaxed structure of TlRe4Pb, with properties calculated at the PBE level.

Output
Raw total energy = -8.384 eV/atom
D(E_F) = 20.98 states/eV per cell
Magnetization = 0.0 μB/f.u.
Calculated formation energy = 0.928 eV/atom

Unit cell a=7.6416 b=7.6416 c=7.6416 alpha=90.00 beta=90.00 gamma=90.00
With the nearest neighbours (Å) after each atom.
Space group F-43m (No. 216)
Inequivalent atoms, fractional coordinates:
Tl (0.0000, 0.0000, 0.0000) x4  12 Re 3.17, 4 Pb 3.31
Re (0.1251, 0.1251, 0.3749) x16  6 Re 2.70
Pb (0.2500, 0.2500, 0.7500) x4  12 Re 3.17, 4 Tl 3.31

Entry 2:
Below is a relaxed structure of Tl2RePb, with properties calculated at the PBE level.

Output
Raw total energy = -4.541 eV/atom
D(E_F) = 2.45 states/eV per cell
Energy relative to the lowest polymorph listed for this composition = 0.027 eV per atom
Magnetization = 0.0 μB/f.u.
Calculated formation energy = 0.681 eV/atom

Unit cell a=3.2484 b=3.2484 c=32.6344 alpha=90.00 beta=90.00 gamma=120.00
With the nearest neighbours (Å) after each atom.
Space group R3m (No. 160, hexagonal axes)
Inequivalent atoms, fractional coordinates:
Tl (0.0000, 0.0000, 0.0000) x3  3 Re 2.94, 6 Tl 3.25
Tl (0.0000, 0.0000, 0.2438) x3  9 Tl 3.25-3.47
Re (0.0000, 0.0000, 0.7361) x3  3 Pb 2.90, 3 Tl 2.94, 6 Re 3.25
Pb (0.0000, 0.0000, 0.4706) x3  3 Re 2.90, 6 Pb 3.25

Entry 3:
Below is a relaxed structure of TlRe3Pb, with properties calculated at the PBE level.

Output
Raw total energy = -5.622 eV/atom
D(E_F) = 5.71 states/eV per cell
Energy relative to the lowest polymorph listed for this composition = 0.000 eV per atom
Magnetization = 4.0 μB/f.u.
Calculated formation energy = 3.062 eV/atom

Unit cell a=5.0074 b=5.0074 c=5.0074 alpha=90.00 beta=90.00 gamma=90.00
With the nearest neighbours (Å) after each atom.
Space group Pm-3m (No. 221)
Inequivalent atoms, fractional coordinates:
Tl (0.0000, 0.0000, 0.0000) x1  6 Re 2.50
Re (0.0000, 0.0000, 0.5000) x3  2 Tl 2.50
Pb (0.5000, 0.5000, 0.5000) x1  12 Re 3.54

Entry 4:
Below is a relaxed structure of Tl2RePb, with properties calculated at the PBE level.

Output
Raw total energy = -4.432 eV/atom
D(E_F) = 8.53 states/eV per cell
Energy relative to the lowest polymorph listed for this composition = 0.136 eV per atom
Magnetization = 0.4 μB/f.u.
Calculated formation energy = 0.790 eV/atom

Unit cell a=3.1906 b=3.1906 c=32.9877 alpha=90.00 beta=90.00 gamma=120.00
With the nearest neighbours (Å) after each atom.
Space group R-3m (No. 166, hexagonal axes)
Inequivalent atoms, fractional coordinates:
Tl (0.0000, 0.0000, 0.2378) x6  3 Re 2.98, 6 Tl 3.19
Re (0.0000, 0.0000, 0.5000) x3  6 Tl 2.98, 6 Re 3.19
Pb (0.0000, 0.0000, 0.0000) x3  6 Pb 3.19

Entry 5:
Below is a relaxed structure of ZrTlRePb2, with properties calculated at the PBE level.

Output
Raw total energy = -4.558 eV/atom
D(E_F) = 4.54 states/eV per cell
Energy relative to the lowest polymorph listed for this composition = 0.000 eV per atom
Magnetization = 4.8 μB/f.u.
Calculated formation energy = 1.598 eV/atom

Unit cell a=5.6226 b=5.6226 c=5.6112 alpha=90.00 beta=90.00 gamma=90.00
With the nearest neighbours (Å) after each atom.
Space group P4/mmm (No. 123)
Inequivalent atoms, fractional coordinates:
Zr (0.0000, 0.0000, 0.0000) x1  2 Tl 2.81, 4 Pb 2.81
Tl (0.0000, 0.0000, 0.5000) x1  2 Zr 2.81
Re (0.5000, 0.5000, 0.5000) x1  8 Pb 3.97, 4 Tl 3.98
Pb (0.0000, 0.5000, 0.0000) x2  2 Zr 2.81

Entry 6:
Below is a relaxed structure of ZrTlRePb2, with properties calculated at the PBE level.

Output
Raw total energy = -4.192 eV/atom
D(E_F) = 5.25 states/eV per cell
Energy relative to the lowest polymorph listed for this composition = 0.366 eV per atom
Magnetization = 2.9 μB/f.u.
Calculated formation energy = 1.964 eV/atom

Unit cell a=5.5648 b=5.5648 c=5.5627 alpha=90.00 beta=90.00 gamma=90.00
With the nearest neighbours (Å) after each atom.
Space group P4/mmm (No. 123)
Inequivalent atoms, fractional coordinates:
Zr (0.0000, 0.0000, 0.0000) x1  2 Tl 2.78
Tl (0.0000, 0.0000, 0.5000) x1  2 Zr 2.78, 4 Pb 2.78
Re (0.5000, 0.5000, 0.0000) x1  8 Pb 3.93, 4 Zr 3.93
Pb (0.0000, 0.5000, 0.5000) x2  2 Tl 2.78

Entry 7:
Below is a relaxed structure of Tm8RePb2, with properties calculated at the PBE level.

Output
Raw total energy = -5.218 eV/atom
D(E_F) = 19.46 states/eV per cell
Magnetization = 0.0 μB/f.u.
Calculated formation energy = -0.160 eV/atom

Unit cell a=17.8637 b=5.2365 c=6.9266 alpha=90.00 beta=109.94 gamma=90.00
With the nearest neighbours (Å) after each atom.
Space group C2/m (No. 12)
Inequivalent atoms, fractional coordinates:
Tm (0.0133, 0.0000, 0.2342) x4  2 Re 3.05, 3 Tm 3.11-3.25, 1 Pb 3.18
Tm (0.0936, 0.5000, 0.7586) x4  1 Re 2.74
Tm (0.1445, 0.5000, 0.3250) x4  1 Re 2.79
Tm (0.2009, 0.0000, 0.1025) x4  1 Pb 3.16, 3 Tm 3.36-3.46
Re (0.0000, 0.5000, 0.0000) x2  8 Tm 2.74-3.05
Pb (0.1717, 0.0000, 0.6254) x4  7 Tm 3.16-3.28

Entry 8:
Below is a relaxed structure of U2RePb, with properties calculated at the PBE level.

Output
Raw total energy = -9.381 eV/atom
D(E_F) = 7.65 states/eV per cell
Magnetization = 0.0 μB/f.u.
Calculated formation energy = 0.303 eV/atom

Unit cell a=3.7504 b=3.7504 c=6.4853 alpha=90.00 beta=90.00 gamma=90.00
With the nearest neighbours (Å) after each atom.
Space group P4/mmm (No. 123)
Inequivalent atoms, fractional coordinates:
U (0.0000, 0.0000, 0.1897) x2  1 U 2.46
Re (0.5000, 0.5000, 0.0000) x1  8 U 2.92, 2 Pb 3.24
Pb (0.5000, 0.5000, 0.5000) x1  2 Re 3.24, 8 U 3.33

Entry 9:
Below is a relaxed structure of VRePb2, with properties calculated at the PBE level.

Output
Raw total energy = -5.975 eV/atom
D(E_F) = 19.61 states/eV per cell
Energy relative to the lowest polymorph listed for this composition = 0.406 eV per atom
Magnetization = 3.0 μB/f.u.
Calculated formation energy = 1.271 eV/atom

Unit cell a=7.7806 b=7.7806 c=5.8854 alpha=90.00 beta=90.00 gamma=90.00
With the nearest neighbours (Å) after each atom.
Space group I-42d (No. 122)
Inequivalent atoms, fractional coordinates:
V (0.0000, 0.0000, 0.0000) x4  4 Pb 2.90, 2 Re 2.94
Re (0.0000, 0.0000, 0.5000) x4  4 Pb 2.80, 2 V 2.94
Pb (0.2405, 0.2500, 0.6250) x8  2 Re 2.80, 2 V 2.90, 2 Pb 2.95

Entry 10:
Below is a relaxed structure of VRePb2, with properties calculated at the PBE level.

Output
Raw total energy = -6.381 eV/atom
D(E_F) = 23.79 states/eV per cell
Energy relative to the lowest polymorph listed for this composition = 0.000 eV per atom
Magnetization = 2.3 μB/f.u.
Calculated formation energy = 0.865 eV/atom

Unit cell a=6.7950 b=6.7950 c=6.7950 alpha=90.00 beta=90.00 gamma=90.00
With the nearest neighbours (Å) after each atom.
Space group Fm-3m (No. 225)
Inequivalent atoms, fractional coordinates:
V (0.0000, 0.0000, 0.0000) x4  8 Pb 2.94
Re (0.0000, 0.0000, 0.5000) x4  8 Pb 2.94
Pb (0.2500, 0.2500, 0.2500) x8  4 Re 2.94, 4 V 2.94

Entry 11:
Below is a relaxed structure of VRe2Pb, with properties calculated at the PBE level.

Output
Raw total energy = -8.427 eV/atom
D(E_F) = 16.97 states/eV per cell
Magnetization = 1.1 μB/f.u.
Calculated formation energy = 1.004 eV/atom

Unit cell a=4.0670 b=4.0670 c=18.5913 alpha=90.00 beta=90.00 gamma=90.00
With the nearest neighbours (Å) after each atom.
Space group I-42d (No. 122)
Inequivalent atoms, fractional coordinates:
V (0.0000, 0.0000, 0.0000) x4  4 Re 2.63, 4 Pb 2.88
Re (0.1720, 0.2500, 0.1250) x8  2 Re 2.47, 2 V 2.63
Pb (0.0000, 0.0000, 0.5000) x4  4 Re 2.87, 4 V 2.88

Entry 12:
Below is a relaxed structure of VRe3Pb, with properties calculated at the PBE level.

Output
Raw total energy = -8.366 eV/atom
D(E_F) = 5.09 states/eV per cell
Energy relative to the lowest polymorph listed for this composition = 0.000 eV per atom
Magnetization = 2.5 μB/f.u.
Calculated formation energy = 1.668 eV/atom

Unit cell a=4.6031 b=4.6031 c=4.6031 alpha=90.00 beta=90.00 gamma=90.00
With the nearest neighbours (Å) after each atom.
Space group Pm-3m (No. 221)
Inequivalent atoms, fractional coordinates:
V (0.0000, 0.0000, 0.0000) x1  6 Re 2.30
Re (0.0000, 0.0000, 0.5000) x3  2 V 2.30
Pb (0.5000, 0.5000, 0.5000) x1  12 Re 3.25

Entry 13:
Below is a relaxed structure of VRePb3, with properties calculated at the PBE level.

Output
Raw total energy = -5.117 eV/atom
D(E_F) = 1.74 states/eV per cell
Magnetization = 6.1 μB/f.u.
Calculated formation energy = 1.422 eV/atom

Unit cell a=5.2616 b=5.2616 c=5.2616 alpha=90.00 beta=90.00 gamma=90.00
With the nearest neighbours (Å) after each atom.
Space group Pm-3m (No. 221)
Inequivalent atoms, fractional coordinates:
V (0.0000, 0.0000, 0.0000) x1  6 Pb 2.63
Re (0.5000, 0.5000, 0.5000) x1  12 Pb 3.72
Pb (0.0000, 0.0000, 0.5000) x3  2 V 2.63

Entry 14:
Below is a relaxed structure of RePb2W, with properties calculated at the PBE level.

Output
Raw total energy = -7.309 eV/atom
D(E_F) = 4.97 states/eV per cell
Energy relative to the lowest polymorph listed for this composition = 0.483 eV per atom
Magnetization = 0.0 μB/f.u.
Calculated formation energy = 0.896 eV/atom

Unit cell a=3.2565 b=4.8687 c=11.9144 alpha=90.00 beta=90.00 gamma=90.00
With the nearest neighbours (Å) after each atom.
Space group Imm2 (No. 44)
Inequivalent atoms, fractional coordinates:
Re (0.0000, 0.0000, 0.0000) x2  2 W 2.41
Pb (0.0000, 0.0000, 0.4419) x2  4 Re 3.01, 2 Pb 3.26
Pb (0.0000, 0.5000, 0.2284) x2  4 W 3.08, 2 Pb 3.26
W (0.0000, 0.5000, 0.6488) x2  2 Re 2.41

Entry 15:
Below is a relaxed structure of Re2PbW, with properties calculated at the PBE level.

Output
Raw total energy = -9.540 eV/atom
D(E_F) = 7.30 states/eV per cell
Magnetization = 0.0 μB/f.u.
Calculated formation energy = 0.849 eV/atom

Unit cell a=3.2310 b=4.6983 c=9.6394 alpha=90.00 beta=90.00 gamma=90.00
With the nearest neighbours (Å) after each atom.
Space group Cmm2 (No. 35)
Inequivalent atoms, fractional coordinates:
Re (0.0000, 0.0000, 0.0000) x2  6 Re 2.60-2.85
Re (0.0000, 0.5000, 0.2113) x2  6 Re 2.60-2.85, 2 W 2.66
Pb (0.0000, 0.5000, 0.7115) x2  4 Pb 2.85, 2 W 3.15
W (0.0000, 0.0000, 0.4305) x2  2 Re 2.66, 4 W 2.85

Entry 16:
Below is a relaxed structure of RePb3W, with properties calculated at the PBE level.

Output
Raw total energy = -5.541 eV/atom
D(E_F) = 4.22 states/eV per cell
Energy relative to the lowest polymorph listed for this composition = 0.084 eV per atom
Magnetization = 5.0 μB/f.u.
Calculated formation energy = 1.764 eV/atom

Unit cell a=5.3911 b=5.3911 c=5.3911 alpha=90.00 beta=90.00 gamma=90.00
With the nearest neighbours (Å) after each atom.
Space group Pm-3m (No. 221)
Inequivalent atoms, fractional coordinates:
Re (0.0000, 0.0000, 0.0000) x1  12 Pb 3.81
Pb (0.0000, 0.5000, 0.5000) x3  2 W 2.70
W (0.5000, 0.5000, 0.5000) x1  6 Pb 2.70

Entry 17:
Below is a relaxed structure of RePbW, with properties calculated at the PBE level.

Output
Raw total energy = -9.011 eV/atom
D(E_F) = 5.94 states/eV per cell
Energy relative to the lowest polymorph listed for this composition = 0.000 eV per atom
Magnetization = 0.0 μB/f.u.
Calculated formation energy = 0.692 eV/atom

Unit cell a=3.1294 b=3.1294 c=11.9941 alpha=90.00 beta=90.00 gamma=90.00
With the nearest neighbours (Å) after each atom.
Space group I4mm (No. 107)
Inequivalent atoms, fractional coordinates:
Re (0.0000, 0.0000, 0.0000) x2  4 W 2.60
Pb (0.0000, 0.0000, 0.3094) x2  4 Pb 3.13, 4 Re 3.18, 4 W 3.23
W (0.0000, 0.0000, 0.6137) x2  4 Re 2.60

Entry 18:
Below is a relaxed structure of RePbW, with properties calculated at the PBE level.

Output
Raw total energy = -8.772 eV/atom
D(E_F) = 6.69 states/eV per cell
Energy relative to the lowest polymorph listed for this composition = 0.239 eV per atom
Magnetization = 0.0 μB/f.u.
Calculated formation energy = 0.931 eV/atom

Unit cell a=6.2996 b=6.2996 c=6.2996 alpha=90.00 beta=90.00 gamma=90.00
With the nearest neighbours (Å) after each atom.
Space group F-43m (No. 216)
Inequivalent atoms, fractional coordinates:
Re (0.0000, 0.0000, 0.0000) x4  4 W 2.73, 4 Pb 2.73
Pb (0.2500, 0.2500, 0.2500) x4  4 Re 2.73
W (0.2500, 0.2500, 0.7500) x4  4 Re 2.73

Entry 19:
Below is a relaxed structure of Re2PbW, with properties calculated at the PBE level.

Output
Raw total energy = -9.621 eV/atom
D(E_F) = 6.83 states/eV per cell
Magnetization = 0.0 μB/f.u.
Calculated formation energy = 0.769 eV/atom

Unit cell a=9.3595 b=3.0656 c=5.0709 alpha=90.00 beta=101.95 gamma=90.00
With the nearest neighbours (Å) after each atom.
Space group C2/m (No. 12)
Inequivalent atoms, fractional coordinates:
Re (0.2307, 0.0000, 0.2020) x4  2 Re 2.64, 3 W 2.67-2.91, 1 Pb 2.88
Pb (0.0000, 0.0000, 0.5000) x2  6 Re 2.88-3.07, 4 W 2.96, 2 Pb 3.07
W (0.0000, 0.5000, 0.0000) x2  6 Re 2.67-2.91, 4 Pb 2.96

Entry 20:
Below is a relaxed structure of RePb2W, with properties calculated at the PBE level.

Output
Raw total energy = -6.893 eV/atom
D(E_F) = 6.53 states/eV per cell
Energy relative to the lowest polymorph listed for this composition = 0.899 eV per atom
Magnetization = 0.1 μB/f.u.
Calculated formation energy = 1.311 eV/atom

Unit cell a=4.8065 b=4.8065 c=3.3805 alpha=90.00 beta=90.00 gamma=90.00
With the nearest neighbours (Å) after each atom.
Space group P4/mmm (No. 123)
Inequivalent atoms, fractional coordinates:
Re (0.0000, 0.0000, 0.0000) x1  8 Pb 2.94
Pb (0.0000, 0.5000, 0.5000) x2  4 W 2.94, 4 Re 2.94
W (0.5000, 0.5000, 0.0000) x1  8 Pb 2.94